Run one
Density functional theory data (PBE) for a geometry-optimized LiTcSe2 structure. Values from VASP.

Computed properties:
The crystal system is trigonal.

Quantum ESPRESSO input file:
```
&SYSTEM
  ibrav = 0, nat = 12, ntyp = 3
/
ATOMIC_SPECIES
Li 6.94 Li.upf
Tc 98.00 Tc.upf
Se 78.96 Se.upf
CELL_PARAMETERS angstrom
3.670 0.000 0.000
-1.835 3.178 0.000
0.000 0.000 19.372
ATOMIC_POSITIONS crystal
Li 0.000 0.000 0.000
Li 0.333 0.667 0.667
Li 0.667 0.333 0.333
Tc 0.000 0.000 0.500
Tc 0.333 0.667 0.167
Tc 0.667 0.333 0.833
Se 0.000 0.000 0.243
Se 0.000 0.000 0.757
Se 0.333 0.667 0.424
Se 0.333 0.667 0.910
Se 0.667 0.333 0.090
Se 0.667 0.333 0.576
```

Run two
Density functional theory data (PBE) for a geometry-optimized LiTcSe2 structure. Values from VASP.

Computed properties:
The crystal system is trigonal.

Quantum ESPRESSO input file:
```
&SYSTEM
  ibrav = 0, nat = 12, ntyp = 3
/
ATOMIC_SPECIES
Li 6.94 Li.upf
Tc 98.00 Tc.upf
Se 78.96 Se.upf
CELL_PARAMETERS angstrom
3.679 0.000 0.000
-1.840 3.186 0.000
0.000 0.000 23.168
ATOMIC_POSITIONS crystal
Li 0.000 0.000 0.000
Li 0.333 0.667 0.667
Li 0.667 0.333 0.333
Tc 0.000 0.000 0.500
Tc 0.333 0.667 0.167
Tc 0.667 0.333 0.833
Se 0.000 0.000 0.104
Se 0.000 0.000 0.896
Se 0.333 0.667 0.563
Se 0.333 0.667 0.771
Se 0.667 0.333 0.229
Se 0.667 0.333 0.437
```

Run three
Density functional theory data (PBE) for a geometry-optimized LiTcSe2 structure. Values from VASP.

Computed properties:
The crystal system is orthorhombic.

Quantum ESPRESSO input file:
```
&SYSTEM
  ibrav = 0, nat = 8, ntyp = 3
/
ATOMIC_SPECIES
Li 6.94 Li.upf
Tc 98.00 Tc.upf
Se 78.96 Se.upf
CELL_PARAMETERS angstrom
5.061 0.000 0.000
0.000 3.206 0.000
0.000 0.000 8.714
ATOMIC_POSITIONS crystal
Li 0.000 0.000 0.000
Li 0.000 0.500 0.500
Tc 0.500 0.000 0.650
Tc 0.500 0.500 0.150
Se 0.000 0.000 0.719
Se 0.000 0.500 0.219
Se 0.500 0.000 0.367
Se 0.500 0.500 0.867
```

Run four
Density functional theory data (PBE) for a geometry-optimized LiTcSe2 structure. Values from VASP.

Computed properties:
The crystal system is tetragonal.

Quantum ESPRESSO input file:
```
&SYSTEM
  ibrav = 0, nat = 16, ntyp = 3
/
ATOMIC_SPECIES
Li 6.94 Li.upf
Tc 98.00 Tc.upf
Se 78.96 Se.upf
CELL_PARAMETERS angstrom
5.754 0.000 0.000
0.000 5.754 0.000
0.000 0.000 11.434
ATOMIC_POSITIONS crystal
Li 0.000 0.000 0.000
Li 0.000 0.500 0.250
Li 0.500 0.000 0.750
Li 0.500 0.500 0.500
Tc 0.000 0.000 0.500
Tc 0.000 0.500 0.750
Tc 0.500 0.000 0.250
Tc 0.500 0.500 0.000
Se 0.220 0.250 0.625
Se 0.250 0.720 0.875
Se 0.250 0.780 0.375
Se 0.280 0.250 0.125
Se 0.720 0.750 0.125
Se 0.750 0.220 0.375
Se 0.750 0.280 0.875
Se 0.780 0.750 0.625
```

The winner here is run one, beating the second structure by 113 meV/atom.

Run one
Density functional theory data (PBE) for a geometry-optimized LiTcSe2 structure. Values from VASP.

Computed properties:
The crystal system is trigonal.

Quantum ESPRESSO input file:
```
&SYSTEM
  ibrav = 0, nat = 12, ntyp = 3
/
ATOMIC_SPECIES
Li 6.94 Li.upf
Tc 98.00 Tc.upf
Se 78.96 Se.upf
CELL_PARAMETERS angstrom
3.052 0.000 0.000
-1.526 2.643 0.000
0.000 0.000 25.796
ATOMIC_POSITIONS crystal
Li 0.000 0.000 0.000
Li 0.333 0.667 0.667
Li 0.667 0.333 0.333
Tc 0.000 0.000 0.500
Tc 0.333 0.667 0.167
Tc 0.667 0.333 0.833
Se 0.000 0.000 0.408
Se 0.000 0.000 0.592
Se 0.333 0.667 0.074
Se 0.333 0.667 0.259
Se 0.667 0.333 0.741
Se 0.667 0.333 0.926
```

Run two
Density functional theory data (PBE) for a geometry-optimized LiTcSe2 structure. Values from VASP.

Computed properties:
The crystal system is orthorhombic.

Quantum ESPRESSO input file:
```
&SYSTEM
  ibrav = 0, nat = 8, ntyp = 3
/
ATOMIC_SPECIES
Li 6.94 Li.upf
Tc 98.00 Tc.upf
Se 78.96 Se.upf
CELL_PARAMETERS angstrom
3.213 0.000 0.000
0.000 3.335 0.000
0.000 0.000 13.042
ATOMIC_POSITIONS crystal
Li 0.000 0.000 0.000
Li 0.500 0.500 0.500
Tc 0.000 0.500 0.241
Tc 0.500 0.000 0.741
Se 0.000 0.000 0.594
Se 0.000 0.500 0.833
Se 0.500 0.000 0.333
Se 0.500 0.500 0.094
```

The winner here is run two, beating the second structure by 451 meV/atom.